Density functional theory data (GGA-PBE) for crystalline Sr3La2PaP6 at its relaxed geometry.

a = 7.4276 Å, b = 7.4276 Å, c = 7.4039 Å
α = 99.67°, β = 99.67°, γ = 120.04°
Last column: nearest neighbours and their distance in Å.
Atoms (fractional coordinates):
1 La 0.3336 0.6664 0.0000  6 P 2.99
2 P 0.3882 0.0743 0.2232  1 Pa 2.80, 2 La 2.99, 2 Sr 3.08-3.09
3 Sr 0.1698 0.8302 0.5000  6 P 3.09-3.23
4 P 0.0743 0.3882 0.2232  1 Pa 2.80, 2 La 2.99, 2 Sr 3.08-3.09
5 Sr 0.8302 0.1698 0.5000  6 P 3.09-3.23
6 P 0.9257 0.6118 0.7768  1 Pa 2.80, 2 La 2.99, 2 Sr 3.08-3.09
7 La 0.6664 0.3336 0.0000  6 P 2.99
8 P 0.2384 0.2384 0.7773  1 Pa 2.80, 2 La 2.99, 2 Sr 3.11
9 P 0.6118 0.9257 0.7768  1 Pa 2.80, 2 La 2.99, 2 Sr 3.08-3.09
10 Pa 0.0000 0.0000 0.0000  6 P 2.80
11 Sr 0.5000 0.5000 0.5000  6 P 3.08-3.27
12 P 0.7616 0.7616 0.2227  1 Pa 2.80, 2 La 2.99, 2 Sr 3.11

## Properties
The calculation puts the total DFT energy (no corrections) at -6.000 eV per atom. Its formation energy is -1.262 eV per atom.

=====

Density functional theory data (GGA-PBE) for crystalline Cs12Rb6Sn at its relaxed geometry.

a = 12.6043 Å, b = 12.6043 Å, c = 12.6043 Å
α = 77.84°, β = 77.84°, γ = 77.84°
Last column: nearest neighbours and their distance in Å.
Atoms (fractional coordinates):
1 Cs 0.3070 0.9771 0.9791  1 Sn 3.78
2 Rb 0.3643 0.3644 0.0379  3 Rb 5.14-5.17, 9 Cs 5.18-5.41
3 Rb 0.9621 0.6357 0.6356  3 Rb 5.14-5.17, 9 Cs 5.18-5.41
4 Cs 0.6970 0.6996 0.3542  5 Rb 5.18-5.41, 7 Cs 5.19-5.45
5 Cs 0.6931 0.0229 0.0209  1 Sn 3.78
6 Cs 0.9771 0.9791 0.3070  1 Sn 3.78
7 Cs 0.6458 0.3030 0.3004  5 Rb 5.18-5.41, 7 Cs 5.19-5.45
8 Rb 0.6356 0.9621 0.6357  3 Rb 5.14-5.17, 9 Cs 5.18-5.41
9 Cs 0.6996 0.3542 0.6970  5 Rb 5.18-5.41, 7 Cs 5.19-5.45
10 Cs 0.3542 0.6970 0.6996  5 Rb 5.18-5.41, 7 Cs 5.19-5.45
11 Cs 0.3004 0.6458 0.3030  5 Rb 5.18-5.41, 7 Cs 5.19-5.45
12 Cs 0.3030 0.3004 0.6458  5 Rb 5.18-5.41, 7 Cs 5.19-5.45
13 Sn 0.0000 0.0000 0.0000  6 Cs 3.78
14 Cs 0.9791 0.3070 0.9771  1 Sn 3.78
15 Cs 0.0229 0.0209 0.6931  1 Sn 3.78
16 Rb 0.3644 0.0379 0.3643  3 Rb 5.14-5.17, 9 Cs 5.18-5.41
17 Rb 0.6357 0.6356 0.9621  3 Rb 5.14-5.17, 9 Cs 5.18-5.41
18 Cs 0.0209 0.6931 0.0229  1 Sn 3.78
19 Rb 0.0379 0.3643 0.3644  3 Rb 5.14-5.17, 9 Cs 5.18-5.41

## Properties
The calculation puts the total DFT energy (no corrections) at -1.060 eV per atom. Its formation energy is -0.005 eV per atom.

=====

Density functional theory data (GGA-PBE) for crystalline SiB3P at its relaxed geometry.

a = 3.8742 Å, b = 3.8742 Å, c = 3.8742 Å
α = 90.00°, β = 90.00°, γ = 90.00°
Last column: nearest neighbours and their distance in Å.
Atoms (fractional coordinates):
1 P 0.0000 0.0000 0.0000  6 B 1.94
2 Si 0.5000 0.5000 0.5000  12 B 2.74
3 B 0.0000 0.0000 0.5000  2 P 1.94
4 B 0.5000 0.0000 0.0000  2 P 1.94
5 B 0.0000 0.5000 0.0000  2 P 1.94

## Properties
Its offset from the most stable computed form is 0.00 eV/f.u. The calculation puts the total DFT energy (no corrections) at -4.658 eV per atom. Its uncorrected formation energy is 1.515 eV/atom.

=====

Number 1: mass density 4.8 g/cm³. Number 2: mass density 2.0 g/cm³. Number 3: mass density 2.6 g/cm³.